Density functional theory data (PBE) for an optimized crystal structure of CsTm2Cl7.

Lattice parameters (Å, degrees): 8.3890 13.7623 5.2573 90.00 90.00 90.00
Space group Cmmm (No. 65)
Asymmetric unit:
Cs: 0.0000 0.0000 0.0000
Tm: 0.0000 0.3044 0.5000
Cl: 0.0000 0.2989 0.0000
Cl: 0.0000 0.5000 0.5000
Cl: 0.1886 0.1429 0.5000

Computed properties:
raw formation energy = -2.225 eV/atom
energy above the lowest structure with this stoichiometry = 39 meV/atom


Density functional theory data (PBE) for an optimized crystal structure of RbTl2CdNi.

Lattice parameters (Å, degrees): 5.2279 5.2279 5.2920 90.00 90.00 90.00
Space group P4/mmm (No. 123)
Asymmetric unit:
Rb: 0.0000 0.0000 0.0000
Tl: 0.0000 0.5000 0.5000
Cd: 0.5000 0.5000 0.0000
Ni: 0.5000 0.5000 0.5000

Computed properties:
energy of formation = 0.02 eV per atom


Density functional theory data (PBE) for an optimized crystal structure of NiP5.

Lattice parameters (Å, degrees): 2.6445 2.6445 13.1291 90.00 90.00 90.00
Space group P4/mmm (No. 123)
Asymmetric unit:
Ni: 0.0000 0.0000 0.0000
P: 0.0000 0.0000 0.3613
P: 0.5000 0.5000 0.1200
P: 0.5000 0.5000 0.5000

Computed properties:
energy of formation = 0.45 eV per atom
energy above the lowest structure with this stoichiometry = 431 meV/atom


Density functional theory data (PBE) for an optimized crystal structure of Ca2B2PbO6.

Lattice parameters (Å, degrees): 5.4113 5.6693 6.2364 102.47 112.24 106.21
Space group P-1 (No. 2)
Asymmetric unit:
Ca: 0.1185 0.2076 0.3284
B: 0.2049 0.7462 0.2570
Pb: 0.5000 0.5000 0.0000
O: 0.0098 0.7679 0.3499
O: 0.2075 0.8473 0.0741
O: 0.3898 0.6268 0.3531

Computed properties:
raw formation energy = -2.446 eV/atom


Density functional theory data (PBE) for an optimized crystal structure of NaHfW3.

Lattice parameters (Å, degrees): 4.8877 4.8877 4.8877 90.00 90.00 90.00
Space group Pm-3m (No. 221)
Asymmetric unit:
Na: 0.0000 0.0000 0.0000
Hf: 0.5000 0.5000 0.5000
W: 0.0000 0.5000 0.5000

Computed properties:
energy of formation = 2.43 eV per atom
energy above the lowest structure with this stoichiometry = 0 meV/atom


Density functional theory data (PBE) for an optimized crystal structure of MnTlAg2.

Lattice parameters (Å, degrees): 9.8915 3.1885 4.9927 90.00 102.39 90.00
Space group C2/m (No. 12)
Asymmetric unit:
Mn: 0.0000 0.0000 0.0000
Tl: 0.0000 0.5000 0.5000
Ag: 0.2386 0.5000 0.2317

Computed properties:
energy of formation = 0.27 eV per atom
energy above the lowest structure with this stoichiometry = 24 meV/atom


Density functional theory data (PBE) for an optimized crystal structure of BePb.

Lattice parameters (Å, degrees): 3.5564 3.5564 3.8596 90.00 90.00 120.00
Space group P-6m2 (No. 187)
Asymmetric unit:
Be: 0.0000 0.0000 0.0000
Pb: 0.6667 0.3333 0.5000

Computed properties:
energy of formation = 0.80 eV per atom
energy above the lowest structure with this stoichiometry = 494 meV/atom


Density functional theory data (PBE) for an optimized crystal structure of Ba3YTi.

Lattice parameters (Å, degrees): 7.9271 7.9271 7.9271 90.00 90.00 90.00
Space group Pm-3m (No. 221)
Asymmetric unit:
Ba: 0.0000 0.0000 0.5000
Y: 0.0000 0.0000 0.0000
Ti: 0.5000 0.5000 0.5000

Computed properties:
energy of formation = 1.55 eV per atom
energy above the lowest structure with this stoichiometry = 738 meV/atom


Density functional theory data (PBE) for an optimized crystal structure of NaSr2Bi4Pd3.

Lattice parameters (Å, degrees): 4.8213 4.8213 11.8241 90.00 90.00 90.00
Space group P-4m2 (No. 115)
Asymmetric unit:
Na: 0.0000 0.0000 0.0000
Sr: 0.0000 0.5000 0.7514
Bi: 0.0000 0.0000 0.5000
Bi: 0.0000 0.5000 0.1433
Bi: 0.5000 0.5000 0.5000
Pd: 0.0000 0.5000 0.3737
Pd: 0.5000 0.5000 0.0000

Computed properties:
energy of formation = -0.54 eV per atom


Density functional theory data (PBE) for an optimized crystal structure of Ag2PW.

Lattice parameters (Å, degrees): 3.0182 4.2866 5.0234 90.00 90.00 90.00
Space group Pmmm (No. 47)
Asymmetric unit:
Ag: 0.0000 0.0000 0.0000
Ag: 0.5000 0.5000 0.0000
P: 0.0000 0.5000 0.5000
W: 0.5000 0.0000 0.5000

Computed properties:
energy of formation = 0.53 eV per atom


Density functional theory data (PBE) for an optimized crystal structure of Pb2BrF3.

Lattice parameters (Å, degrees): 16.6311 4.4341 8.0250 90.00 117.56 90.00
Space group C2/m (No. 12)
Asymmetric unit:
Pb: 0.0183 0.0000 0.2594
Pb: 0.2114 0.5000 0.2450
Br: 0.1496 0.5000 0.7611
F: 0.0646 0.5000 0.2382
F: 0.0916 0.0000 0.0563
F: 0.1915 0.0000 0.4244

Computed properties:
raw formation energy = -2.007 eV/atom